A relaxed structure of LaPuPaN3. Source: Alexandria via LeMat-Bulk, functional PBE.

Properties
Formation energy without anion corrections (eV per atom): -0.971
Crystal system: monoclinic

Cell: 7.151 3.504 8.828 Å, 90.00 102.81 90.00°
Space group P2_1/m (No. 11)
Unique sites:
1 La 0.174 0.250 0.180 x2
2 Pu 0.109 0.250 0.533 x2
3 Pa 0.329 0.750 0.855 x2
4 N 0.131 0.250 0.882 x2
5 N 0.210 0.750 0.417 x2
6 N 0.437 0.750 0.110 x2

A relaxed structure of RuPb4W. Source: Alexandria via LeMat-Bulk, functional PBE.

Properties
ΔH_f (0 K) (eV per formula unit): 9.59
Crystal system: cubic

Cell: 8.700 8.700 8.700 Å, 90.00 90.00 90.00°
Space group F-43m (No. 216)
Unique sites:
1 Ru 0.000 0.000 0.000 x4
2 Pb 0.125 0.125 0.375 x16
3 W 0.250 0.250 0.750 x4

A relaxed structure of Mg4Ta3TiN8. Source: Alexandria via LeMat-Bulk, functional PBE.

Properties
Formation energy without anion corrections (eV per atom): -1.161
Crystal system: trigonal

Cell: 6.1180 6.1180 15.4589 Å, 90.00 90.00 120.00°
Space group R-3m (No. 166, hexagonal axes)
Unique sites:
1 Mg 0.0000 0.0000 0.0000 x3
2 Mg 0.0000 0.5000 0.0000 x9
3 Ta 0.0000 0.5000 0.5000 x9
4 Ti 0.0000 0.0000 0.5000 x3
5 N 0.0000 0.0000 0.2479 x6
6 N 0.0000 0.5000 0.2463 x18

A relaxed structure of CsRb6Bi3. Source: Alexandria via LeMat-Bulk, functional PBE.

Properties
ΔH_f (0 K) (eV per formula unit): -2.80
Crystal system: monoclinic

Cell: 11.502 6.155 15.780 Å, 90.00 103.08 90.00°
Space group P2_1/m (No. 11)
Unique sites:
1 Cs 0.073 0.250 0.294 x2
2 Rb 0.048 0.250 0.928 x2
3 Rb 0.275 0.750 0.728 x2
4 Rb 0.281 0.750 0.445 x2
5 Rb 0.353 0.750 0.194 x2
6 Rb 0.392 0.250 0.578 x2
7 Rb 0.413 0.250 0.045 x2
8 Bi 0.042 0.250 0.543 x2
9 Bi 0.230 0.750 0.953 x2
10 Bi 0.425 0.250 0.336 x2

A relaxed structure of Sr5Pt2Pb5. Source: Alexandria via LeMat-Bulk, functional PBE.

Properties
ΔH_f (0 K) (eV per formula unit): -6.54
Crystal system: monoclinic

Cell: 17.291 4.845 11.865 Å, 90.00 129.89 90.00°
Space group C2/m (No. 12)
Unique sites:
1 Sr 0.000 0.000 0.000 x2
2 Sr 0.130 0.000 0.431 x4
3 Sr 0.183 0.000 0.826 x4
4 Pt 0.149 0.500 0.253 x4
5 Pb 0.000 0.500 0.500 x2
6 Pb 0.045 0.500 0.831 x4
7 Pb 0.246 0.000 0.278 x4

A relaxed structure of B2Ir2Pd. Source: Alexandria via LeMat-Bulk, functional PBE.

Properties
ΔH_f (0 K) (eV per formula unit): -0.25
Crystal system: monoclinic
Excess energy over the best structure of this formula in the dataset (meV per atom): 0

Cell: 9.358 3.439 4.135 Å, 90.00 95.93 90.00°
Space group C2/m (No. 12)
Unique sites:
1 B 0.149 0.000 0.224 x4
2 Ir 0.217 0.000 0.734 x4
3 Pd 0.000 0.500 0.000 x2

A relaxed structure of TbGaCu3. Source: Alexandria via LeMat-Bulk, functional PBE.

Properties
ΔH_f (0 K) (eV per formula unit): 0.45
Crystal system: tetragonal
Excess energy over the best structure of this formula in the dataset (meV per atom): 312

Cell: 4.351 4.351 20.065 Å, 90.00 90.00 90.00°
Space group I-4m2 (No. 119)
Unique sites:
1 Tb 0.000 0.000 0.000 x2
2 Tb 0.000 0.500 0.250 x2
3 Ga 0.000 0.000 0.412 x4
4 Cu 0.000 0.249 0.126 x8
5 Cu 0.000 0.500 0.681 x4

A relaxed structure of Ce2PrIr2. Source: Alexandria via LeMat-Bulk, functional PBE.

Properties
ΔH_f (0 K) (eV per formula unit): -1.18
Crystal system: orthorhombic

Cell: 5.376 7.348 5.905 Å, 90.00 90.00 90.00°
Space group Cmmm (No. 65)
Unique sites:
1 Ce 0.000 0.193 0.000 x4
2 Pr 0.000 0.000 0.500 x2
3 Ir 0.000 0.500 0.257 x4

A relaxed structure of LaCr3Ru. Source: Alexandria via LeMat-Bulk, functional PBE.

Properties
ΔH_f (0 K) (eV per formula unit): 3.73
Crystal system: cubic
Excess energy over the best structure of this formula in the dataset (meV per atom): 0

Cell: 4.721 4.721 4.721 Å, 90.00 90.00 90.00°
Space group Pm-3m (No. 221)
Unique sites:
1 La 0.000 0.000 0.000 x1
2 Cr 0.000 0.500 0.500 x3
3 Ru 0.500 0.500 0.500 x1

A relaxed structure of Cr2FeP. Source: Alexandria via LeMat-Bulk, functional PBE.

Properties
ΔH_f (0 K) (eV per formula unit): 0.45
Crystal system: trigonal

Cell: 2.5967 2.5967 23.3458 Å, 90.00 90.00 120.00°
Space group R-3m (No. 166, hexagonal axes)
Unique sites:
1 Cr 0.0000 0.0000 0.2484 x6
2 Fe 0.0000 0.0000 0.0000 x3
3 P 0.0000 0.0000 0.5000 x3

A relaxed structure of NaOsBr3. Source: Alexandria via LeMat-Bulk, functional PBE.

Properties
Formation energy without anion corrections (eV per atom): -0.042
Crystal system: cubic
Excess energy over the best structure of this formula in the dataset (meV per atom): 0

Cell: 5.180 5.180 5.180 Å, 90.00 90.00 90.00°
Space group Pm-3m (No. 221)
Unique sites:
1 Na 0.000 0.000 0.000 x1
2 Os 0.500 0.500 0.500 x1
3 Br 0.000 0.500 0.500 x3

A relaxed structure of DyCoSi2Ru. Source: Alexandria via LeMat-Bulk, functional PBE.

Properties
Formation energy without anion corrections (eV per atom): -0.866
Crystal system: tetragonal

Cell: 4.020 4.020 9.737 Å, 90.00 90.00 90.00°
Space group I-4m2 (No. 119)
Unique sites:
1 Dy 0.000 0.000 0.000 x2
2 Co 0.000 0.500 0.250 x2
3 Si 0.000 0.000 0.372 x4
4 Ru 0.000 0.500 0.750 x2

no.,total magnetization (μB/f.u.)
1,1.59
2,5.13
3,0.00
4,0.30
5,0.00
6,0.00
7,0.00
8,0.00
9,8.36
10,0.46
11,1.63
12,0.00